Computed, not measured: Nd2AsSe after structural relaxation at the PBE level of DFT.

Cell: 4.1731 4.1731 22.0482 Å, 90.00 90.00 120.00°
Space group R3m (No. 160, hexagonal axes)
Asymmetric unit:
Nd (0.0000, 0.0000, 0.0000) x3
Nd (0.0000, 0.0000, 0.1793) x3
As (0.0000, 0.0000, 0.5908) x3
Se (0.0000, 0.0000, 0.4218) x3

Summary:
For the offset from the most stable computed form, the calculation gives 79.7 meV/atom. The value obtained for the total magnetization is 0.00 μB per formula unit. For the uncorrected formation energy, the calculation gives -1.656 eV per atom.